First-principles (PBE) data for a relaxed structure of La8Dy2Cd, as listed in Alexandria via LeMat-Bulk.

Computed properties:
- final energy (eV per atom) = -4.531
- total magnetic moment (μB per formula unit) = 0.000
- distance to the lowest polymorph of the same formula (eV per atom) = 0.000

abc: 9.6540 9.6540 8.1912
angles: 104.70 104.70 30.83
Atoms (fractional coordinates):
1 La 0.0453 0.0453 0.2281
2 La 0.1374 0.1374 0.6805
3 La 0.3231 0.3231 0.5896
4 La 0.4082 0.4082 0.0485
5 La 0.5918 0.5918 0.9515
6 La 0.6769 0.6769 0.4104
7 La 0.8626 0.8626 0.3195
8 La 0.9547 0.9547 0.7719
9 Dy 0.2265 0.2265 0.1351
10 Dy 0.7735 0.7735 0.8649
11 Cd 0.5000 0.5000 0.5000



First-principles (PBE) data for a relaxed structure of La8DyCd2, as listed in Alexandria via LeMat-Bulk.

Computed properties:
- final energy (eV per atom) = -4.250
- total magnetic moment (μB per formula unit) = 0.000

abc: 9.1457 9.1457 8.5927
angles: 112.32 112.32 34.68
Atoms (fractional coordinates):
1 La 0.0497 0.0497 0.2411
2 La 0.1467 0.1467 0.7017
3 La 0.3120 0.3120 0.5464
4 La 0.3976 0.3976 0.0332
5 La 0.6024 0.6024 0.9668
6 La 0.6880 0.6880 0.4536
7 La 0.8533 0.8533 0.2983
8 La 0.9503 0.9503 0.7589
9 Dy 0.5000 0.5000 0.5000
10 Cd 0.2207 0.2207 0.1324
11 Cd 0.7793 0.7793 0.8676



First-principles (PBE) data for a relaxed structure of La3DyCd4, as listed in Alexandria via LeMat-Bulk.

Computed properties:
- final energy (eV per atom) = -3.202
- total magnetic moment (μB per formula unit) = 1.207

abc: 3.8585 3.8585 15.7858
angles: 90.00 90.00 90.00
Atoms (fractional coordinates):
1 La 0.0000 0.0000 0.0000
2 La 0.0000 0.0000 0.2578
3 La 0.0000 0.0000 0.7422
4 Dy 0.0000 0.0000 0.5000
5 Cd 0.5000 0.5000 0.1278
6 Cd 0.5000 0.5000 0.3898
7 Cd 0.5000 0.5000 0.6102
8 Cd 0.5000 0.5000 0.8722



First-principles (PBE) data for a relaxed structure of La3Dy2Cd3, as listed in Alexandria via LeMat-Bulk.

Computed properties:
- final energy (eV per atom) = -3.519
- total magnetic moment (μB per formula unit) = 0.020
- distance to the lowest polymorph of the same formula (eV per atom) = 0.064

abc: 8.9173 8.9173 3.4043
angles: 90.00 90.00 120.00
Atoms (fractional coordinates):
1 La 0.0000 0.2374 0.0000
2 La 0.2374 0.0000 0.0000
3 La 0.7626 0.7626 0.0000
4 Dy 0.3333 0.6667 0.0000
5 Dy 0.6667 0.3333 0.0000
6 Cd 0.0000 0.6025 0.5000
7 Cd 0.3975 0.3975 0.5000
8 Cd 0.6025 0.0000 0.5000



First-principles (PBE) data for a relaxed structure of La3Dy3Cd2, as listed in Alexandria via LeMat-Bulk.

Computed properties:
- final energy (eV per atom) = -3.875
- total magnetic moment (μB per formula unit) = 0.000

abc: 6.5281 6.5281 16.0412
angles: 90.00 90.00 131.51
Atoms (fractional coordinates):
1 La 0.0376 0.9624 0.6074
2 La 0.0376 0.9624 0.8926
3 La 0.2712 0.7288 0.7500
4 La 0.7288 0.2712 0.2500
5 La 0.9624 0.0376 0.1074
6 La 0.9624 0.0376 0.3926
7 Dy 0.3583 0.6417 0.5367
8 Dy 0.3583 0.6417 0.9633
9 Dy 0.4515 0.5485 0.2500
10 Dy 0.5485 0.4515 0.7500
11 Dy 0.6417 0.3583 0.0367
12 Dy 0.6417 0.3583 0.4633
13 Cd 0.2391 0.7609 0.1303
14 Cd 0.2391 0.7609 0.3697
15 Cd 0.7609 0.2391 0.6303
16 Cd 0.7609 0.2391 0.8697



First-principles (PBE) data for a relaxed structure of La5Dy4Cd4, as listed in Alexandria via LeMat-Bulk.

Computed properties:
- final energy (eV per atom) = -3.759
- total magnetic moment (μB per formula unit) = 0.000

abc: 9.2358 9.2358 9.2358
angles: 94.66 94.66 146.89
Atoms (fractional coordinates):
1 La 0.0000 0.0000 0.0000
2 La 0.3134 0.6129 0.9262
3 La 0.3871 0.3134 0.7005
4 La 0.6129 0.6866 0.2995
5 La 0.6866 0.3871 0.0738
6 Dy 0.0956 0.3989 0.4945
7 Dy 0.3989 0.9044 0.3034
8 Dy 0.6011 0.0956 0.6966
9 Dy 0.9044 0.6011 0.5055
10 Cd 0.0936 0.7561 0.8498
11 Cd 0.2439 0.0936 0.3375
12 Cd 0.7561 0.9064 0.6625
13 Cd 0.9064 0.2439 0.1502



First-principles (PBE) data for a relaxed structure of LaDy8Cd2, as listed in Alexandria via LeMat-Bulk.

Computed properties:
- final energy (eV per atom) = -3.629
- total magnetic moment (μB per formula unit) = 0.000

abc: 8.7194 8.7194 5.3225
angles: 99.05 99.05 74.33
Atoms (fractional coordinates):
1 La 0.0000 0.0000 0.0000
2 Dy 0.1717 0.6338 0.2122
3 Dy 0.2384 0.2384 0.1220
4 Dy 0.3662 0.8283 0.7878
5 Dy 0.4160 0.4160 0.7089
6 Dy 0.5840 0.5840 0.2911
7 Dy 0.6338 0.1717 0.2122
8 Dy 0.7616 0.7616 0.8780
9 Dy 0.8283 0.3662 0.7878
10 Cd 0.1381 0.1381 0.5643
11 Cd 0.8619 0.8619 0.4357



First-principles (PBE) data for a relaxed structure of LaDy7Cd2, as listed in Alexandria via LeMat-Bulk.

Computed properties:
- final energy (eV per atom) = -3.488
- total magnetic moment (μB per formula unit) = 2.390

abc: 8.8349 8.8349 5.4879
angles: 90.00 90.00 118.42
Atoms (fractional coordinates):
1 La 0.0000 0.0000 0.0000
2 Dy 0.0593 0.3029 0.5000
3 Dy 0.2404 0.7596 0.0000
4 Dy 0.3029 0.0593 0.5000
5 Dy 0.5000 0.5000 0.5000
6 Dy 0.6971 0.9407 0.5000
7 Dy 0.7596 0.2404 0.0000
8 Dy 0.9407 0.6971 0.5000
9 Cd 0.3030 0.6970 0.5000
10 Cd 0.6970 0.3030 0.5000



First-principles (PBE) data for a relaxed structure of LaDyCd5, as listed in Alexandria via LeMat-Bulk.

Computed properties:
- final energy (eV per atom) = -2.156
- total magnetic moment (μB per formula unit) = 0.000

abc: 5.2915 5.2915 6.8444
angles: 90.00 90.00 90.00
Atoms (fractional coordinates):
1 La 0.0000 0.0000 0.0000
2 Dy 0.5000 0.5000 0.5000
3 Cd 0.0000 0.5000 0.2752
4 Cd 0.0000 0.5000 0.7248
5 Cd 0.5000 0.0000 0.2752
6 Cd 0.5000 0.0000 0.7248
7 Cd 0.5000 0.5000 0.0000



First-principles (PBE) data for a relaxed structure of La3Dy4Cd, as listed in Alexandria via LeMat-Bulk.

Computed properties:
- final energy (eV per atom) = -4.321
- total magnetic moment (μB per formula unit) = 0.000

abc: 3.6613 3.6613 19.2580
angles: 90.00 90.00 90.00
Atoms (fractional coordinates):
1 La 0.0000 0.0000 0.0000
2 La 0.0000 0.0000 0.2659
3 La 0.0000 0.0000 0.7341
4 Dy 0.5000 0.5000 0.1325
5 Dy 0.5000 0.5000 0.3975
6 Dy 0.5000 0.5000 0.6025
7 Dy 0.5000 0.5000 0.8675
8 Cd 0.0000 0.0000 0.5000



First-principles (PBE) data for a relaxed structure of LaDyCd2, as listed in Alexandria via LeMat-Bulk.

Computed properties:
- final energy (eV per atom) = -3.160
- total magnetic moment (μB per formula unit) = 0.424
- distance to the lowest polymorph of the same formula (eV per atom) = 0.000

abc: 3.7732 3.7732 7.9337
angles: 90.00 90.00 90.00
Atoms (fractional coordinates):
1 La 0.0000 0.0000 0.0000
2 Dy 0.0000 0.0000 0.5000
3 Cd 0.5000 0.5000 0.2740
4 Cd 0.5000 0.5000 0.7260



First-principles (PBE) data for a relaxed structure of La15Dy4Cd, as listed in Alexandria via LeMat-Bulk.

Computed properties:
- final energy (eV per atom) = -4.679
- total magnetic moment (μB per formula unit) = 0.000

abc: 5.1777 5.1777 26.0247
angles: 90.00 90.00 90.00
Atoms (fractional coordinates):
1 La 0.0000 0.0000 0.0000
2 La 0.0000 0.0000 0.1976
3 La 0.0000 0.0000 0.3983
4 La 0.0000 0.0000 0.6017
5 La 0.0000 0.0000 0.8024
6 La 0.0000 0.5000 0.0978
7 La 0.0000 0.5000 0.2984
8 La 0.0000 0.5000 0.5000
9 La 0.0000 0.5000 0.7016
10 La 0.0000 0.5000 0.9022
11 La 0.5000 0.0000 0.0978
12 La 0.5000 0.0000 0.2984
13 La 0.5000 0.0000 0.5000
14 La 0.5000 0.0000 0.7016
15 La 0.5000 0.0000 0.9022
16 Dy 0.5000 0.5000 0.1973
17 Dy 0.5000 0.5000 0.3994
18 Dy 0.5000 0.5000 0.6006
19 Dy 0.5000 0.5000 0.8027
20 Cd 0.5000 0.5000 0.0000